Run 1
The following is a DFT calculation (PBE) of La3Tb4Ho5 after structural relaxation.

Lattice parameters (Å, degrees): 6.2218 7.1786 8.8146 89.79 89.79 89.88
Fractional coordinates of all 12 atoms:
1 La 0.0000 0.0000 0.0000
2 La 0.1667 0.2513 0.3332
3 La 0.8333 0.7487 0.6668
4 Tb 0.1707 0.7490 0.3325
5 Tb 0.3327 0.4990 0.6687
6 Tb 0.6673 0.5010 0.3313
7 Tb 0.8293 0.2510 0.6675
8 Ho 0.0000 0.5000 0.0000
9 Ho 0.3360 0.0002 0.6680
10 Ho 0.4979 0.7482 0.0002
11 Ho 0.5021 0.2518 0.9998
12 Ho 0.6640 0.9998 0.3320

## Properties
density of states at the Fermi level = 17.037 states/eV/f.u.

---

Run 2
The following is a DFT calculation (PBE) of La3Tb4Ho5 after structural relaxation.

Lattice parameters (Å, degrees): 8.5760 8.5760 9.3478 114.62 114.62 40.79
Fractional coordinates of all 12 atoms:
1 La 0.0000 0.0000 0.0000
2 La 0.2920 0.2920 0.7708
3 La 0.7080 0.7080 0.2292
4 Tb 0.2943 0.2943 0.1259
5 Tb 0.4184 0.4184 0.5592
6 Tb 0.5816 0.5816 0.4408
7 Tb 0.7057 0.7057 0.8741
8 Ho 0.0727 0.0727 0.6958
9 Ho 0.1719 0.1719 0.3905
10 Ho 0.5000 0.5000 0.0000
11 Ho 0.8281 0.8281 0.6095
12 Ho 0.9273 0.9273 0.3042

## Properties
density of states at the Fermi level = 19.943 states/eV/f.u.

---

Name the least stable of them. run 2.

---

Run 1
The following is a DFT calculation (PBE) of La4TbHo5 after structural relaxation.

Lattice parameters (Å, degrees): 8.1772 8.1772 8.1772 97.86 97.86 136.58
Fractional coordinates of all 10 atoms:
1 La 0.0000 0.3228 0.3228
2 La 0.0000 0.6772 0.6772
3 La 0.3228 0.0000 0.3228
4 La 0.6772 0.0000 0.6772
5 Tb 0.7405 0.7405 0.0000
6 Ho 0.2192 0.2192 0.0000
7 Ho 0.2904 0.2904 0.6230
8 Ho 0.2904 0.6674 0.0000
9 Ho 0.6674 0.2904 0.0000
10 Ho 0.6674 0.6674 0.3770

## Properties
density of states at the Fermi level = 13.788 states/eV/f.u.

---

Run 2
The following is a DFT calculation (PBE) of La4TbHo5 after structural relaxation.

Lattice parameters (Å, degrees): 8.7685 8.7685 11.4778 90.08 90.08 23.30
Fractional coordinates of all 10 atoms:
1 La 0.0336 0.0336 0.2495
2 La 0.3372 0.3372 0.2502
3 La 0.6628 0.6628 0.7498
4 La 0.9664 0.9664 0.7505
5 Tb 0.5000 0.5000 0.5000
6 Ho 0.1725 0.1725 0.0471
7 Ho 0.1730 0.1730 0.4517
8 Ho 0.5000 0.5000 0.0000
9 Ho 0.8270 0.8270 0.5483
10 Ho 0.8275 0.8275 0.9529

## Properties
density of states at the Fermi level = 14.859 states/eV/f.u.

---

Name the least stable of them. run 1.

---

Run 1
The following is a DFT calculation (PBE) of La6TbHo4 after structural relaxation.

Lattice parameters (Å, degrees): 5.7451 5.7451 26.2677 90.00 90.00 118.07
Fractional coordinates of all 22 atoms:
1 La 0.0000 0.0000 0.0000
2 La 0.0000 0.0000 0.5000
3 La 0.0431 0.9569 0.7500
4 La 0.3071 0.6929 0.0986
5 La 0.3071 0.6929 0.4014
6 La 0.3685 0.6315 0.6818
7 La 0.3685 0.6315 0.8182
8 La 0.6315 0.3685 0.1818
9 La 0.6315 0.3685 0.3182
10 La 0.6929 0.3071 0.5986
11 La 0.6929 0.3071 0.9014
12 La 0.9569 0.0431 0.2500
13 Tb 0.2966 0.7034 0.2500
14 Tb 0.7034 0.2966 0.7500
15 Ho 0.0338 0.9662 0.6248
16 Ho 0.0338 0.9662 0.8752
17 Ho 0.3455 0.6545 0.5454
18 Ho 0.3455 0.6545 0.9546
19 Ho 0.6545 0.3455 0.0454
20 Ho 0.6545 0.3455 0.4546
21 Ho 0.9662 0.0338 0.1248
22 Ho 0.9662 0.0338 0.3752

## Properties
density of states at the Fermi level = 19.116 states/eV/f.u.

---

Run 2
The following is a DFT calculation (PBE) of La6TbHo4 after structural relaxation.

Lattice parameters (Å, degrees): 9.3690 9.3690 9.3690 136.05 136.05 63.90
Fractional coordinates of all 11 atoms:
1 La 0.0000 0.5000 0.5000
2 La 0.0124 0.6245 0.0000
3 La 0.3755 0.3755 0.3879
4 La 0.5000 0.0000 0.5000
5 La 0.6245 0.0124 0.0000
6 La 0.9876 0.9876 0.6121
7 Tb 0.0000 0.0000 0.0000
8 Ho 0.2298 0.2298 0.6642
9 Ho 0.4344 0.7702 0.0000
10 Ho 0.5656 0.5656 0.3358
11 Ho 0.7702 0.4344 0.0000

## Properties
density of states at the Fermi level = 17.433 states/eV/f.u.

---

Name the least stable of them. run 2.

---

Run 1
The following is a DFT calculation (PBE) of La4Tb3Ho8 after structural relaxation.

Lattice parameters (Å, degrees): 12.5895 12.5895 12.5895 32.24 32.24 32.24
Fractional coordinates of all 15 atoms:
1 La 0.0000 0.0000 0.0000
2 La 0.1635 0.1635 0.1635
3 La 0.5000 0.5000 0.5000
4 La 0.8365 0.8365 0.8365
5 Tb 0.0000 0.5000 0.5000
6 Tb 0.5000 0.0000 0.5000
7 Tb 0.5000 0.5000 0.0000
8 Ho 0.2494 0.2494 0.7465
9 Ho 0.2494 0.7465 0.2494
10 Ho 0.2535 0.7506 0.7506
11 Ho 0.2556 0.2556 0.2556
12 Ho 0.7444 0.7444 0.7444
13 Ho 0.7465 0.2494 0.2494
14 Ho 0.7506 0.2535 0.7506
15 Ho 0.7506 0.7506 0.2535

## Properties
density of states at the Fermi level = 23.473 states/eV/f.u.

---

Run 2
The following is a DFT calculation (PBE) of La4Tb3Ho8 after structural relaxation.

Lattice parameters (Å, degrees): 9.3326 9.3326 6.7849 111.17 111.17 87.37
Fractional coordinates of all 15 atoms:
1 La 0.0000 0.0000 0.0000
2 La 0.0000 0.0000 0.5000
3 La 0.0000 0.5000 0.0000
4 La 0.5000 0.0000 0.0000
5 Tb 0.0000 0.5000 0.5000
6 Tb 0.5000 0.0000 0.5000
7 Tb 0.5000 0.5000 0.0000
8 Ho 0.2566 0.7434 0.0000
9 Ho 0.2690 0.2690 0.5124
10 Ho 0.2723 0.2723 0.0384
11 Ho 0.3634 0.6366 0.5000
12 Ho 0.6366 0.3634 0.5000
13 Ho 0.7277 0.7277 0.9616
14 Ho 0.7310 0.7310 0.4876
15 Ho 0.7434 0.2566 0.0000

## Properties
density of states at the Fermi level = 30.378 states/eV/f.u.

---

Name the least stable of them. run 2.

---

Run 1
The following is a DFT calculation (PBE) of La4Tb7Ho after structural relaxation.

Lattice parameters (Å, degrees): 6.7562 6.7562 12.9230 113.56 113.56 52.49
Fractional coordinates of all 12 atoms:
1 La 0.0881 0.0881 0.2919
2 La 0.3639 0.3639 0.2244
3 La 0.6361 0.6361 0.7756
4 La 0.9119 0.9119 0.7081
5 Tb 0.0000 0.0000 0.0000
6 Tb 0.1728 0.1728 0.6356
7 Tb 0.2108 0.2108 0.9183
8 Tb 0.3671 0.3671 0.5109
9 Tb 0.6329 0.6329 0.4891
10 Tb 0.7892 0.7892 0.0817
11 Tb 0.8272 0.8272 0.3644
12 Ho 0.5000 0.5000 0.0000

## Properties
density of states at the Fermi level = 19.513 states/eV/f.u.

---

Run 2
The following is a DFT calculation (PBE) of La4Tb7Ho after structural relaxation.

Lattice parameters (Å, degrees): 3.6220 3.6220 35.4015 90.00 90.00 120.00
Fractional coordinates of all 12 atoms:
1 La 0.3333 0.6667 0.1656
2 La 0.3333 0.6667 0.4160
3 La 0.6667 0.3333 0.5840
4 La 0.6667 0.3333 0.8344
5 Tb 0.0000 0.0000 0.2505
6 Tb 0.0000 0.0000 0.5000
7 Tb 0.0000 0.0000 0.7495
8 Tb 0.3333 0.6667 0.6687
9 Tb 0.3333 0.6667 0.9194
10 Tb 0.6667 0.3333 0.0806
11 Tb 0.6667 0.3333 0.3313
12 Ho 0.0000 0.0000 0.0000

## Properties
density of states at the Fermi level = 17.601 states/eV/f.u.

---

Name the least stable of them. run 1.

---

Run 1
The following is a DFT calculation (PBE) of LaTb7Ho3 after structural relaxation.

Lattice parameters (Å, degrees): 6.9769 5.5787 9.8839 90.00 109.33 90.00
Fractional coordinates of all 11 atoms:
1 La 0.0000 0.0000 0.0000
2 Tb 0.0000 0.0000 0.5000
3 Tb 0.1451 0.5000 0.7895
4 Tb 0.3292 0.5000 0.1430
5 Tb 0.4253 0.0000 0.3321
6 Tb 0.5747 0.0000 0.6679
7 Tb 0.6708 0.5000 0.8570
8 Tb 0.8549 0.5000 0.2105
9 Ho 0.2765 0.5000 0.4966
10 Ho 0.5000 0.0000 0.0000
11 Ho 0.7235 0.5000 0.5034

## Properties
density of states at the Fermi level = 16.046 states/eV/f.u.

---

Run 2
The following is a DFT calculation (PBE) of LaTb7Ho3 after structural relaxation.

Lattice parameters (Å, degrees): 7.0855 7.0855 8.6309 90.00 90.00 120.00
Fractional coordinates of all 11 atoms:
1 La 0.0000 0.0000 0.0000
2 Tb 0.0025 0.5013 0.9946
3 Tb 0.3312 0.1656 0.3307
4 Tb 0.3333 0.6667 0.3259
5 Tb 0.4987 0.5013 0.9946
6 Tb 0.4987 0.9975 0.9946
7 Tb 0.8344 0.1656 0.3307
8 Tb 0.8344 0.6688 0.3307
9 Ho 0.1676 0.3352 0.6597
10 Ho 0.1676 0.8324 0.6597
11 Ho 0.6649 0.8324 0.6597

## Properties
density of states at the Fermi level = 17.727 states/eV/f.u.

---

Name the least stable of them. run 2.